Record 1
This record from Alexandria via LeMat-Bulk describes a relaxed structure of Ca2MgW. The functional is PBE-GGA.

a b c (Å): 4.311 4.311 11.144
angles (deg): 78.85 78.85 90.00
Element x y z (fractional)
Ca (0.634, 0.125, 0.250)
Ca (0.875, 0.884, 0.750)
Ca (0.116, 0.625, 0.250)
Ca (0.375, 0.366, 0.750)
Mg (0.500, 0.500, 0.000)
Mg (0.250, 0.750, 0.500)
W (0.000, 0.000, 0.000)
W (0.750, 0.250, 0.500)

Values from the calculation:
Total energy   -27.87 eV per cell
Space group   No. 122

Record 2
This record from Alexandria via LeMat-Bulk describes a relaxed structure of H4SeI2. The functional is PBE-GGA.

a b c (Å): 6.415 6.415 6.591
angles (deg): 107.64 119.10 100.90
Element x y z (fractional)
H (0.927, 0.444, 0.370)
H (0.265, 0.091, 0.094)
H (0.953, 0.774, 0.727)
H (0.002, 0.828, 0.094)
Se (0.961, 0.968, 0.929)
I (0.180, 0.682, 0.393)
I (0.712, 0.213, 0.393)

Values from the calculation:
Energy relative to the lowest polymorph listed for this composition   0.0 kJ per mole of atoms
Space group   No. 8

Record 3
This record from Alexandria via LeMat-Bulk describes a relaxed structure of TlCoCu2. The functional is PBE-GGA.

a b c (Å): 3.048 3.039 6.416
angles (deg): 90.00 90.00 90.00
Each line ends with the local moment (μB).
Element x y z (fractional)
Cu (0.500, 0.500, 0.200)  0.01
Cu (0.000, 0.000, 0.998)  0.06
Tl (0.000, 0.000, 0.507)  0.00
Co (0.500, 0.500, 0.795)  1.44

Values from the calculation:
Energy relative to the lowest polymorph listed for this composition   4.2 kJ per mole of atoms
Space group   No. 99

Record 4
This record from Alexandria via LeMat-Bulk describes a relaxed structure of ZnH6BrN2. The functional is PBE-GGA.

a b c (Å): 9.206 9.206 3.997
angles (deg): 100.60 100.60 120.48
Element x y z (fractional)
H (0.107, 0.360, 0.277)
H (0.902, 0.587, 0.323)
H (0.827, 0.434, 0.526)
H (0.587, 0.902, 0.823)
H (0.173, 0.566, 0.474)
H (0.640, 0.893, 0.223)
H (0.413, 0.098, 0.177)
H (0.434, 0.827, 0.026)
H (0.893, 0.640, 0.723)
H (0.566, 0.173, 0.974)
H (0.098, 0.413, 0.677)
H (0.360, 0.107, 0.777)
N (0.822, 0.539, 0.479)
N (0.539, 0.822, 0.979)
N (0.178, 0.461, 0.521)
N (0.461, 0.178, 0.021)
Zn (0.558, 0.442, 0.250)
Zn (0.442, 0.558, 0.750)
Br (0.809, 0.191, 0.750)
Br (0.191, 0.809, 0.250)

Values from the calculation:
Total energy   -87.92 eV per cell
Space group   No. 15

Record 5
This record from Alexandria via LeMat-Bulk describes a relaxed structure of Sc3TcO. The functional is PBE-GGA.

a b c (Å): 4.805 4.805 10.111
angles (deg): 76.26 76.26 90.00
Element x y z (fractional)
Sc (0.706, 0.706, 0.587)
Sc (0.118, 0.881, 0.763)
Sc (0.118, 0.355, 0.763)
Sc (0.645, 0.882, 0.237)
Sc (0.294, 0.294, 0.413)
Sc (0.119, 0.882, 0.237)
Tc (0.000, 0.000, 0.000)
Tc (0.250, 0.750, 0.500)
O (0.655, 0.155, 0.690)
O (0.845, 0.345, 0.310)

Values from the calculation:
Energy relative to the lowest polymorph listed for this composition   160.7 kJ per mole of atoms
Space group   No. 119
Formation energy from raw total energies   0.3432 eV per atom

Record 6
This record from Alexandria via LeMat-Bulk describes a relaxed structure of TbDyCuRu. The functional is PBE-GGA.

a b c (Å): 4.865 4.865 4.865
angles (deg): 60.00 60.00 60.00
Element x y z (fractional)
Dy (0.000, 0.000, 0.000)
Tb (0.500, 0.500, 0.500)
Ru (0.250, 0.250, 0.250)
Cu (0.750, 0.750, 0.750)

Values from the calculation:
Total energy   -23.90 eV per cell
Space group   No. 216

Record 7
This record from Alexandria via LeMat-Bulk describes a relaxed structure of Si2As2Se. The functional is PBE-GGA.

a b c (Å): 4.644 4.644 5.474
angles (deg): 64.90 64.90 90.00
Element x y z (fractional)
Si (0.636, 0.636, 0.727)
Si (0.364, 0.364, 0.273)
As (0.750, 0.250, 0.500)
As (0.250, 0.750, 0.500)
Se (0.000, 0.000, 0.000)

Values from the calculation:
Energy relative to the lowest polymorph listed for this composition   0.0 kJ per mole of atoms
Space group   No. 139
Formation energy from raw total energies   0.2280 eV per atom

Record 8
This record from Alexandria via LeMat-Bulk describes a relaxed structure of LaDy3ErTm. The functional is PBE-GGA.

a b c (Å): 5.367 11.576 6.812
angles (deg): 81.86 90.00 103.40
Element x y z (fractional)
Tm (0.926, 0.852, 0.631)
Tm (0.074, 0.148, 0.369)
La (0.628, 0.255, 0.014)
La (0.372, 0.745, 0.986)
Dy (0.175, 0.351, 0.723)
Dy (0.477, 0.954, 0.279)
Dy (0.523, 0.046, 0.721)
Dy (0.773, 0.547, 0.812)
Dy (0.227, 0.453, 0.188)
Dy (0.825, 0.649, 0.277)
Er (0.668, 0.335, 0.470)
Er (0.332, 0.665, 0.530)

Values from the calculation:
Total energy   -53.02 eV per cell
Space group   No. 12

Record 9
This record from Alexandria via LeMat-Bulk describes a relaxed structure of SmMgIn. The functional is PBE-GGA.

a b c (Å): 3.502 3.502 6.906
angles (deg): 104.69 104.69 90.00
Element x y z (fractional)
Mg (0.963, 0.963, 0.927)
Sm (0.279, 0.279, 0.557)
In (0.608, 0.608, 0.216)

Values from the calculation:
Total energy   -9.78 eV per cell
Space group   No. 107

Record 10
This record from Alexandria via LeMat-Bulk describes a relaxed structure of KNb3Te. The functional is PBE-GGA.

a b c (Å): 5.205 5.205 5.205
angles (deg): 90.00 90.00 90.00
Each line ends with the local moment (μB).
Element x y z (fractional)
K (0.500, 0.500, 0.500)  0.01
Te (0.000, 0.000, 0.000)  -0.01
Nb (0.000, 0.500, 0.000)  0.35
Nb (0.000, 0.000, 0.500)  0.28
Nb (0.500, 0.000, 0.000)  0.39

Values from the calculation:
Energy relative to the lowest polymorph listed for this composition   0.0 kJ per mole of atoms
Space group   No. 221
Formation energy from raw total energies   1.4824 eV per atom

Record 11
This record from Alexandria via LeMat-Bulk describes a relaxed structure of LiAl3Os2. The functional is PBE-GGA.

a b c (Å): 3.032 4.252 6.841
angles (deg): 108.11 90.00 90.00
Element x y z (fractional)
Al (0.500, 0.178, 0.356)
Al (0.500, 0.500, 0.000)
Al (0.500, 0.822, 0.644)
Li (0.000, 0.000, 0.000)
Os (0.000, 0.342, 0.684)
Os (0.000, 0.658, 0.316)

Values from the calculation:
Total energy   -37.89 eV per cell
Space group   No. 65

Record 12
This record from Alexandria via LeMat-Bulk describes a relaxed structure of NdPaRhN3. The functional is PBE-GGA.

a b c (Å): 3.470 7.209 7.769
angles (deg): 98.47 90.00 90.00
Element x y z (fractional)
Rh (0.750, 0.879, 0.419)
Rh (0.250, 0.121, 0.581)
Nd (0.750, 0.846, 0.801)
Nd (0.250, 0.154, 0.199)
N (0.250, 0.139, 0.872)
N (0.250, 0.829, 0.564)
N (0.750, 0.430, 0.125)
N (0.250, 0.570, 0.875)
N (0.750, 0.861, 0.128)
N (0.750, 0.171, 0.436)
Pa (0.250, 0.652, 0.168)
Pa (0.750, 0.348, 0.832)

Values from the calculation:
Space group   No. 11
Formation energy from raw total energies   -0.9151 eV per atom